The following is a PBE-GGA calculation of a relaxed SmCd6 crystal, from Alexandria.

a = 7.6782 Å, b = 7.6782 Å, c = 7.6782 Å
α = 90.00°, β = 90.00°, γ = 90.00°
With the nearest neighbours (Å) after each atom.
Space group Im-3m (No. 229)
Asymmetric unit:
Sm 0.0000 0.0000 0.0000 [2 per cell]  24 Cd 4.29
Cd 0.0000 0.2500 0.5000 [12 per cell]  4 Cd 2.71

As for the density of states at the Fermi level: 11.89 states/eV per cell. Its formation energy is 415 meV/atom. The calculation puts the total energy at -14.62 eV/cell. The calculation puts the energy above the most stable polymorph in this dataset at 53.3 kJ/mol of atoms.